1.
VASP calculation (PBE-GGA) on crystalline CeMg6Ga at its relaxed geometry.

Cell lengths 7.1294, 7.1294, 4.7966 Å; angles 90.00, 90.00, 128.44 degrees
Closest atoms and distances in Å follow each position.
Fractional coordinates of all 8 atoms:
Mg 0.7971 0.2029 0.5000  8 Mg 3.11-3.35, 2 Ga 3.20
Mg 0.3114 0.1777 0.5000  6 Mg 2.96-3.17, 1 Ga 3.12
Mg 0.6433 0.3567 0.0000  8 Mg 3.04-3.15, 2 Ce 3.20
Ce 0.2051 0.7949 0.0000  2 Ga 3.10, 8 Mg 3.20-3.35
Mg 0.6871 0.8242 0.0000  5 Mg 2.96-3.17, 2 Ga 3.03, 1 Ce 3.31
Ga 0.3578 0.6422 0.5000  8 Mg 3.03-3.20, 2 Ce 3.10
Mg 0.1758 0.3129 0.0000  5 Mg 2.96-3.17, 2 Ga 3.03, 1 Ce 3.31
Mg 0.8223 0.6886 0.5000  6 Mg 2.96-3.17, 1 Ga 3.12

Values from the calculation:
As for the space group: No. 38. The value obtained for the energy above the most stable polymorph in this dataset is 0.06 eV per formula unit. For the total moment, the calculation gives 1.09 Bohr magnetons per cell. Its formation energy is -16 meV per atom.


2.
VASP calculation (PBE-GGA) on crystalline AlAu at its relaxed geometry.

Cell lengths 4.8798, 4.8798, 4.4707 Å; angles 80.41, 80.41, 40.67 degrees
Closest atoms and distances in Å follow each position.
Fractional coordinates of all 4 atoms:
Au 0.2605 0.2605 0.1906  7 Al 2.59-2.85, 1 Au 2.89
Au 0.4895 0.4895 0.5594  7 Al 2.59-2.85, 1 Au 2.89
Al 0.9995 0.9995 0.0433  7 Au 2.59-2.85
Al 0.7505 0.7505 0.7067  7 Au 2.59-2.85

Values from the calculation:
As for the space group: No. 12. For the total moment, the calculation gives 0.00 Bohr magnetons per cell. Its formation energy is -334 meV per atom.


3.
VASP calculation (PBE-GGA) on crystalline CaNd4Sm at its relaxed geometry.

Cell lengths 3.5904, 6.6792, 9.8367 Å; angles 109.85, 100.45, 90.00 degrees
Closest atoms and distances in Å follow each position.
Fractional coordinates of all 6 atoms:
Nd 0.4543 0.1311 0.7434  6 Nd 3.21-3.59
Sm 0.8015 0.2181 0.4363  2 Sm 3.59, 8 Nd 3.69-3.80, 2 Ca 3.77
Nd 0.2907 0.7073 0.4146  6 Nd 3.44-3.59, 4 Sm 3.80
Ca 0.1191 0.0356 0.0712  2 Ca 3.59, 2 Sm 3.77, 8 Nd 3.79-3.89
Nd 0.6302 0.5455 0.0911  6 Nd 3.44-3.59, 4 Ca 3.79-3.80
Nd 0.4543 0.6124 0.7434  6 Nd 3.21-3.59

Values from the calculation:
As for the space group: No. 8. The value obtained for the energy above the most stable polymorph in this dataset is 0.81 eV per formula unit. For the total moment, the calculation gives 0.00 Bohr magnetons per cell. Its formation energy is 177 meV per atom.


4.
VASP calculation (PBE-GGA) on crystalline NaTl4Pb15 at its relaxed geometry.

Cell lengths 4.9784, 4.9784, 25.0346 Å; angles 90.00, 90.00, 90.00 degrees
Closest atoms and distances in Å follow each position.
Fractional coordinates of all 20 atoms:
Pb 0.5000 0.0000 0.5000  8 Pb 3.52-3.53, 4 Tl 3.54
Pb 0.0000 0.5000 0.7018  4 Tl 3.50-3.56, 8 Pb 3.50-3.57
Pb 0.5000 0.5000 0.8002  8 Pb 3.50-3.56, 4 Tl 3.52
Tl 0.0000 0.0000 0.8001  12 Pb 3.50-3.56
Pb 0.5000 0.0000 0.2982  4 Tl 3.50-3.56, 8 Pb 3.50-3.57
Pb 0.0000 0.5000 0.2982  4 Tl 3.50-3.56, 8 Pb 3.50-3.57
Tl 0.0000 0.0000 0.6004  12 Pb 3.52-3.56
Na 0.0000 0.0000 0.0000  12 Pb 3.50-3.52
Tl 0.0000 0.0000 0.3996  12 Pb 3.52-3.56
Pb 0.0000 0.5000 0.5000  8 Pb 3.52-3.53, 4 Tl 3.54
Pb 0.5000 0.5000 0.0000  8 Pb 3.50, 4 Na 3.52
Pb 0.5000 0.0000 0.0983  8 Pb 3.50-3.56, 2 Na 3.50, 2 Tl 3.56
Tl 0.0000 0.0000 0.1999  12 Pb 3.50-3.56
Pb 0.5000 0.0000 0.9017  8 Pb 3.50-3.56, 2 Na 3.50, 2 Tl 3.56
Pb 0.0000 0.5000 0.0983  8 Pb 3.50-3.56, 2 Na 3.50, 2 Tl 3.56
Pb 0.5000 0.5000 0.1998  8 Pb 3.50-3.56, 4 Tl 3.52
Pb 0.5000 0.5000 0.5998  4 Tl 3.52, 8 Pb 3.53-3.57
Pb 0.5000 0.0000 0.7018  4 Tl 3.50-3.56, 8 Pb 3.50-3.57
Pb 0.5000 0.5000 0.4002  4 Tl 3.52, 8 Pb 3.53-3.57
Pb 0.0000 0.5000 0.9017  8 Pb 3.50-3.56, 2 Na 3.50, 2 Tl 3.56

Values from the calculation:
As for the space group: No. 123. For the total moment, the calculation gives 0.00 Bohr magnetons per cell. Its formation energy is -12 meV per atom.


5.
VASP calculation (PBE-GGA) on crystalline InHg2I2 at its relaxed geometry.

Cell lengths 6.3950, 6.3950, 6.4156 Å; angles 60.11, 60.11, 90.00 degrees
Closest atoms and distances in Å follow each position.
Fractional coordinates of all 5 atoms:
Hg 0.6526 0.6526 0.6948  1 Hg 2.78
Hg 0.3474 0.3474 0.3052  1 Hg 2.78
I 0.2500 0.7500 0.5000  4 Hg 3.32
In 0.0000 0.0000 0.0000  2 Hg 3.16
I 0.7500 0.2500 0.5000  4 Hg 3.32

Values from the calculation:
As for the formation energy from raw total energies: -153 meV per atom. As for the space group: No. 139. The value obtained for the energy above the most stable polymorph in this dataset is 0.47 eV per formula unit. For the total moment, the calculation gives 0.00 Bohr magnetons per cell.


6.
VASP calculation (PBE-GGA) on crystalline Th2Hg5Au at its relaxed geometry.

Cell lengths 4.3513, 6.8593, 13.7035 Å; angles 90.00, 90.00, 90.00 degrees
Closest atoms and distances in Å follow each position.
Fractional coordinates of all 16 atoms:
Hg 0.5000 0.2724 0.3700  6 Hg 3.21-3.23, 4 Th 3.36-3.51, 2 Au 3.38
Hg 0.5000 0.2276 0.8700  6 Hg 3.21-3.23, 4 Th 3.36-3.51, 2 Au 3.38
Hg 0.0000 0.4696 0.7472  7 Hg 3.21-3.43, 4 Th 3.31-3.34, 1 Au 3.47
Au 0.0000 0.5000 0.0000  4 Th 3.08, 6 Hg 3.38-3.43
Th 0.5000 0.7168 0.8843  2 Au 3.08, 8 Hg 3.31-3.39
Th 0.5000 0.7832 0.3843  2 Au 3.08, 8 Hg 3.31-3.39
Au 0.0000 0.0000 0.5000  4 Th 3.08, 6 Hg 3.38-3.43
Hg 0.0000 0.0304 0.2472  7 Hg 3.21-3.43, 4 Th 3.31-3.34, 1 Au 3.47
Hg 0.0000 0.9696 0.7528  7 Hg 3.21-3.43, 4 Th 3.31-3.34, 1 Au 3.47
Hg 0.0000 0.5304 0.2528  7 Hg 3.21-3.43, 4 Th 3.31-3.34, 1 Au 3.47
Th 0.5000 0.2832 0.1157  2 Au 3.08, 8 Hg 3.31-3.39
Hg 0.5000 0.7724 0.1300  6 Hg 3.21-3.23, 4 Th 3.36-3.51, 2 Au 3.38
Hg 0.0000 0.5000 0.5000  6 Hg 3.22-3.39, 4 Th 3.32, 2 Au 3.43
Hg 0.0000 0.0000 0.0000  6 Hg 3.22-3.39, 4 Th 3.32, 2 Au 3.43
Th 0.5000 0.2168 0.6157  2 Au 3.08, 8 Hg 3.31-3.39
Hg 0.5000 0.7276 0.6300  6 Hg 3.21-3.23, 4 Th 3.36-3.51, 2 Au 3.38

Values from the calculation:
As for the space group: No. 55. For the total moment, the calculation gives 0.00 Bohr magnetons per cell. Its formation energy is -213 meV per atom.


7.
VASP calculation (PBE-GGA) on crystalline PtI2BrN at its relaxed geometry.

Cell lengths 6.1506, 4.7852, 6.1506 Å; angles 90.00, 90.00, 90.00 degrees
Closest atoms and distances in Å follow each position.
Fractional coordinates of all 5 atoms:
Pt 0.0000 0.5000 0.0000  2 Br 2.39
Br 0.0000 0.0000 0.0000  2 Pt 2.39
N 0.5000 0.5000 0.5000  8 I 3.90, 4 Pt 4.35
I 0.0000 0.0000 0.5000  2 Br 3.08
I 0.5000 0.0000 0.0000  2 Br 3.08

Values from the calculation:
As for the formation energy from raw total energies: 1730 meV per atom. As for the space group: No. 123. The value obtained for the energy above the most stable polymorph in this dataset is 5.70 eV per formula unit. For the total moment, the calculation gives 2.94 Bohr magnetons per cell.


8.
VASP calculation (PBE-GGA) on crystalline Mn2TlCd at its relaxed geometry.

Cell lengths 4.3786, 4.3786, 3.8431 Å; angles 90.00, 90.00, 89.99 degrees
Closest atoms and distances in Å follow each position.
Fractional coordinates of all 4 atoms:
Mn 0.0000 0.0000 0.0000  4 Cd 2.91, 4 Tl 2.91, 4 Mn 3.10
Cd 0.0000 0.5000 0.5000  8 Mn 2.91, 4 Tl 3.10
Mn 0.5000 0.5000 0.0000  4 Tl 2.91, 4 Cd 2.91, 4 Mn 3.10
Tl 0.5000 0.0000 0.5000  8 Mn 2.91, 4 Cd 3.10

Values from the calculation:
As for the space group: No. 123. For the total moment, the calculation gives 7.06 Bohr magnetons per cell. Its formation energy is 413 meV per atom.


9.
VASP calculation (PBE-GGA) on crystalline Sc2FeRu at its relaxed geometry.

Cell lengths 3.1352, 3.1352, 7.4072 Å; angles 90.00, 90.00, 90.00 degrees
Closest atoms and distances in Å follow each position.
Fractional coordinates of all 4 atoms:
Sc 0.0000 0.0000 0.9363  4 Ru 2.72, 1 Fe 2.98
Fe 0.0000 0.0000 0.5339  4 Ru 2.62, 4 Sc 2.78
Ru 0.5000 0.5000 0.7229  4 Fe 2.62, 4 Sc 2.72
Sc 0.5000 0.5000 0.3069  4 Fe 2.78, 1 Ru 3.08

Values from the calculation:
As for the space group: No. 99. For the total moment, the calculation gives 2.92 Bohr magnetons per cell. Its formation energy is -109 meV per atom.


10.
VASP calculation (PBE-GGA) on crystalline MnZn2Mo2 at its relaxed geometry.

Cell lengths 6.3724, 6.3724, 3.5258 Å; angles 90.00, 90.00, 90.00 degrees
Closest atoms and distances in Å follow each position.
Fractional coordinates of all 10 atoms:
Mo 0.6709 0.8291 0.5000  6 Zn 2.50-2.63
Mo 0.8291 0.3291 0.5000  6 Zn 2.50-2.63
Zn 0.3678 0.8678 0.0000  1 Zn 2.38, 2 Mn 2.49, 6 Mo 2.50-2.63
Mo 0.1709 0.6709 0.5000  6 Zn 2.50-2.63
Zn 0.1322 0.3678 0.0000  1 Zn 2.38, 2 Mn 2.49, 6 Mo 2.50-2.63
Zn 0.8678 0.6322 0.0000  1 Zn 2.38, 2 Mn 2.49, 6 Mo 2.50-2.63
Mn 0.5000 0.5000 0.0000  4 Zn 2.49
Zn 0.6322 0.1322 0.0000  1 Zn 2.38, 2 Mn 2.49, 6 Mo 2.50-2.63
Mo 0.3291 0.1709 0.5000  6 Zn 2.50-2.63
Mn 0.0000 0.0000 0.0000  4 Zn 2.49

Values from the calculation:
As for the space group: No. 127. For the total moment, the calculation gives 0.00 Bohr magnetons per cell. Its formation energy is 473 meV per atom.


11.
VASP calculation (PBE-GGA) on crystalline LaH3Ir at its relaxed geometry.

Cell lengths 6.3471, 4.9050, 4.0155 Å; angles 90.00, 108.46, 88.10 degrees
Closest atoms and distances in Å follow each position.
Fractional coordinates of all 10 atoms:
H 0.7993 0.4707 0.5604  2 Ir 1.72-1.83
La 0.1692 0.8162 0.2453  8 H 2.47-2.56
H 0.2858 0.5558 0.8036  1 Ir 1.71
H 0.2811 0.0770 0.8012  1 Ir 1.67
H 0.0794 0.3196 0.2000  2 Ir 2.01
H 0.7532 0.8134 0.0379  2 Ir 2.01
H 0.5458 0.0447 0.4337  1 Ir 1.69
Ir 0.0817 0.3223 0.7016  3 H 1.67-1.83
La 0.6511 0.3110 0.9862  9 H 2.34-2.58
Ir 0.7638 0.8193 0.5425  2 H 1.69-1.72

Values from the calculation:
As for the space group: No. 8. For the total energy, the calculation gives -53.21 eV/cell. For the total moment, the calculation gives 0.00 Bohr magnetons per cell.


12.
VASP calculation (PBE-GGA) on crystalline NaPr2Os at its relaxed geometry.

Cell lengths 4.2020, 4.2020, 9.5896 Å; angles 77.34, 77.34, 60.00 degrees
Closest atoms and distances in Å follow each position.
Fractional coordinates of all 4 atoms:
Pr 0.2798 0.2798 0.1608  3 Os 2.85
Pr 0.7202 0.7202 0.8392  3 Os 2.85
Na 0.5000 0.5000 0.5000  6 Pr 3.97, 6 Na 4.20
Os 0.0000 0.0000 0.0000  6 Pr 2.85

Values from the calculation:
As for the space group: No. 166. The value obtained for the energy above the most stable polymorph in this dataset is 0.30 eV per formula unit. For the total moment, the calculation gives 0.00 Bohr magnetons per cell. Its formation energy is 106 meV per atom.